(1)
The following is a PBE-GGA calculation of LiCe2PdS5 after structural relaxation, from Alexandria via LeMat-Bulk.

Computed properties:
Raw formation energy = -1.36 eV/atom
Total energy = -5.762 eV per atom

Cell lengths 4.0186, 8.1322, 11.0537 Å; angles 90.00, 90.00, 104.30 degrees
With the nearest neighbours (Å) after each atom.
Sites, in units of the cell vectors:
Li  0.5710  0.1419  0.9719  4 S 2.28-2.47
Li  0.4290  0.8581  0.4719  4 S 2.28-2.47
Ce  0.8752  0.7504  0.7974  8 S 2.82-3.02
Ce  0.1155  0.2310  0.6912  8 S 2.80-2.97
Ce  0.1248  0.2496  0.2974  8 S 2.82-3.02
Ce  0.8845  0.7690  0.1912  8 S 2.80-2.97
Pd  0.8026  0.6053  0.5166  4 S 2.44-2.56
Pd  0.1974  0.3947  0.0166  4 S 2.44-2.56
S  0.3516  0.7032  0.9985  1 Pd 2.44
S  0.6988  0.3976  0.8426  1 Li 2.47
S  0.5019  0.0039  0.7845  1 Li 2.34
S  0.2917  0.5835  0.6597  2 Pd 2.56, 3 Ce 2.80-2.84
S  0.9560  0.9119  0.5616  2 Li 2.28, 1 Pd 2.47
S  0.6484  0.2968  0.4985  1 Pd 2.44
S  0.3012  0.6024  0.3426  1 Li 2.47
S  0.4981  0.9961  0.2845  1 Li 2.34
S  0.7083  0.4165  0.1597  2 Pd 2.56, 3 Ce 2.80-2.84
S  0.0440  0.0881  0.0616  2 Li 2.28, 1 Pd 2.47

=====

(2)
The following is a PBE-GGA calculation of Li3Ce2PdS6 after structural relaxation, from Alexandria via LeMat-Bulk.

Computed properties:
Raw formation energy = -1.36 eV/atom
Total energy = -5.322 eV per atom

Cell lengths 6.6488, 6.6488, 6.5396 Å; angles 99.40, 99.40, 120.15 degrees
With the nearest neighbours (Å) after each atom.
Sites, in units of the cell vectors:
Li  0.1604  0.8396  0.5000  6 S 2.64-2.75
Li  0.8396  0.1604  0.5000  6 S 2.64-2.75
Li  0.5000  0.5000  0.5000  6 S 2.67-2.78
Ce  0.3317  0.6683  0.0000  6 S 2.72-2.75
Ce  0.6683  0.3317  0.0000  6 S 2.72-2.75
Pd  0.0000  0.0000  0.0000  6 S 2.58-2.72
S  0.9127  0.5833  0.7418  3 Li 2.65-2.75, 2 Ce 2.72-2.74, 1 Pd 2.72
S  0.7636  0.7636  0.2449  1 Pd 2.58, 3 Li 2.64-2.78, 2 Ce 2.75
S  0.0873  0.4167  0.2582  3 Li 2.65-2.75, 2 Ce 2.72-2.74, 1 Pd 2.72
S  0.5833  0.9127  0.7418  3 Li 2.65-2.75, 2 Ce 2.72-2.74, 1 Pd 2.72
S  0.2364  0.2364  0.7551  1 Pd 2.58, 3 Li 2.64-2.78, 2 Ce 2.75
S  0.4167  0.0873  0.2582  3 Li 2.65-2.75, 2 Ce 2.72-2.74, 1 Pd 2.72

=====

(3)
The following is a PBE-GGA calculation of LiCeSb2Pd4 after structural relaxation, from Alexandria via LeMat-Bulk.

Computed properties:
Raw formation energy = -0.69 eV/atom
Total energy = -5.299 eV per atom

Cell lengths 4.5216, 4.5216, 8.8948 Å; angles 75.28, 75.28, 60.00 degrees
With the nearest neighbours (Å) after each atom.
Sites, in units of the cell vectors:
Li  0.5000  0.5000  0.5000  8 Pd 2.58-2.73
Ce  0.0000  0.0000  0.0000  8 Pd 3.10-3.44
Sb  0.7572  0.7572  0.7284  7 Pd 2.69-2.85
Sb  0.2428  0.2428  0.2716  7 Pd 2.69-2.85
Pd  0.3988  0.3988  0.8036  1 Li 2.58, 3 Sb 2.69
Pd  0.8650  0.8650  0.4049  3 Li 2.73, 4 Sb 2.75-2.85
Pd  0.1350  0.1350  0.5951  3 Li 2.73, 4 Sb 2.75-2.85
Pd  0.6012  0.6012  0.1964  1 Li 2.58, 3 Sb 2.69

=====

(4)
The following is a PBE-GGA calculation of LiCeSbPd after structural relaxation, from Alexandria via LeMat-Bulk.

Computed properties:
Raw formation energy = -0.68 eV/atom
Total energy = -4.966 eV per atom

Cell lengths 4.8682, 4.8682, 4.8682 Å; angles 60.00, 60.00, 60.00 degrees
With the nearest neighbours (Å) after each atom.
Sites, in units of the cell vectors:
Sb  0.2500  0.2500  0.2500  4 Li 2.98, 4 Pd 2.98
Pd  0.5000  0.5000  0.5000  4 Sb 2.98, 4 Ce 2.98
Ce  0.7500  0.7500  0.7500  4 Li 2.98, 4 Pd 2.98
Li  0.0000  0.0000  0.0000  4 Ce 2.98, 4 Sb 2.98

=====

(5)
The following is a PBE-GGA calculation of LiCe2Sb4Pd3 after structural relaxation, from Alexandria via LeMat-Bulk.

Computed properties:
Raw formation energy = -0.76 eV/atom
Total energy = -5.342 eV per atom

Cell lengths 4.4903, 4.4903, 11.3515 Å; angles 90.00, 90.00, 90.00 degrees
With the nearest neighbours (Å) after each atom.
Sites, in units of the cell vectors:
Li  0.5000  0.5000  0.5000  4 Sb 2.71
Ce  0.5000  0.0000  0.2583  8 Sb 3.40-3.69, 6 Pd 3.47-3.55, 2 Li 3.55
Ce  0.0000  0.5000  0.7417  8 Sb 3.40-3.69, 6 Pd 3.47-3.55, 2 Li 3.55
Sb  0.5000  0.5000  0.0000  4 Pd 2.72
Sb  0.0000  0.0000  0.0000  4 Pd 2.72
Sb  0.5000  0.0000  0.6344  3 Pd 2.61-2.71, 2 Li 2.71
Sb  0.0000  0.5000  0.3656  3 Pd 2.61-2.71, 2 Li 2.71
Pd  0.0000  0.0000  0.5000  4 Sb 2.71
Pd  0.5000  0.0000  0.8640  5 Sb 2.61-2.72
Pd  0.0000  0.5000  0.1360  5 Sb 2.61-2.72

=====

(6)
The following is a PBE-GGA calculation of Li2Ce3Sb4Pd2 after structural relaxation, from Alexandria via LeMat-Bulk.

Computed properties:
Raw formation energy = -0.89 eV/atom
Total energy = -5.297 eV per atom

Cell lengths 4.6307, 4.6307, 15.0411 Å; angles 90.00, 90.00, 120.00 degrees
With the nearest neighbours (Å) after each atom.
Sites, in units of the cell vectors:
Li  0.6667  0.3333  0.4362  4 Sb 2.85-2.90
Li  0.3333  0.6667  0.5638  4 Sb 2.85-2.90
Ce  0.0000  0.0000  0.7364  3 Pd 3.08, 6 Sb 3.12-3.41
Ce  0.0000  0.0000  0.0000  6 Sb 3.25, 6 Pd 3.62
Ce  0.0000  0.0000  0.2636  3 Pd 3.08, 6 Sb 3.12-3.41
Sb  0.6667  0.3333  0.1228  3 Pd 2.74
Sb  0.3333  0.6667  0.8772  3 Pd 2.74
Sb  0.6667  0.3333  0.6289  4 Li 2.85-2.90, 3 Ce 3.12, 1 Pd 3.14
Sb  0.3333  0.6667  0.3711  4 Li 2.85-2.90, 3 Ce 3.12, 1 Pd 3.14
Pd  0.6667  0.3333  0.8377  3 Sb 2.74
Pd  0.3333  0.6667  0.1623  3 Sb 2.74